No. 1
# GGA-PBE RbSiBiS4, optimized geometry
data_RbSiBiS4
_space_group_name_H-M_alt 'P 1'
_space_group_IT_number 1
_cell_length_a 6.5953
_cell_length_b 6.8053
_cell_length_c 9.0853
_cell_angle_alpha 90.00
_cell_angle_beta 107.69
_cell_angle_gamma 90.00
loop_
_space_group_symop_operation_xyz
'x,y,z'
loop_
_atom_site_label
_atom_site_type_symbol
_atom_site_fract_x
_atom_site_fract_y
_atom_site_fract_z
S1 S 0.4165 0.7500 0.1825
S2 S 0.5835 0.2500 0.8175
S3 S 0.4198 0.7500 0.5659
Rb1 Rb 0.7250 0.7500 0.9365
Si1 Si 0.7766 0.2500 0.6693
S4 S 0.0088 0.5047 0.2913
Rb2 Rb 0.2750 0.2500 0.0635
S5 S 0.9912 0.4953 0.7087
S6 S 0.9912 0.0047 0.7087
S7 S 0.0088 0.9953 0.2913
S8 S 0.5802 0.2500 0.4341
Bi1 Bi 0.2321 0.2500 0.5415
Bi2 Bi 0.7679 0.7500 0.4585
Si2 Si 0.2234 0.7500 0.3307
# - DFT total energy: -4.620 eV/atom
# - D(E_F): 0.0 states/eV/cell
# - SG: P2_1/m, No. 11
# - Magnetization: 0.00 Bohr magnetons per cell

---

No. 2
# GGA-PBE Tc2C, optimized geometry
data_Tc2C
_space_group_name_H-M_alt 'P 1'
_space_group_IT_number 1
_cell_length_a 5.7739
_cell_length_b 5.7739
_cell_length_c 4.2991
_cell_angle_alpha 90.00
_cell_angle_beta 90.00
_cell_angle_gamma 150.40
loop_
_space_group_symop_operation_xyz
'x,y,z'
loop_
_atom_site_label
_atom_site_type_symbol
_atom_site_fract_x
_atom_site_fract_y
_atom_site_fract_z
Tc1 Tc 0.4307 0.5693 0.7500
C1 C 0.8040 0.1960 0.7500
Tc2 Tc 0.1642 0.8358 0.7500
C2 C 0.1960 0.8040 0.2500
Tc3 Tc 0.5693 0.4307 0.2500
Tc4 Tc 0.8358 0.1642 0.2500
# - D(E_F): 4.8 states/eV/cell
# - SG: Cmcm, No. 63
# - Magnetization: 0.00 Bohr magnetons per cell
# - DFT formation energy: 0.248 eV per atom

---

No. 3
# GGA-PBE Tm3PaP2Rh9, optimized geometry
data_Tm3PaP2Rh9
_space_group_name_H-M_alt 'P 1'
_space_group_IT_number 1
_cell_length_a 5.9683
_cell_length_b 5.9683
_cell_length_c 9.4744
_cell_angle_alpha 90.00
_cell_angle_beta 90.00
_cell_angle_gamma 120.00
loop_
_space_group_symop_operation_xyz
'x,y,z'
loop_
_atom_site_label
_atom_site_type_symbol
_atom_site_fract_x
_atom_site_fract_y
_atom_site_fract_z
Rh1 Rh 0.5000 0.5000 0.0000
Tm1 Tm 0.6667 0.3333 0.2700
Rh2 Rh 0.0000 0.5000 0.0000
Rh3 Rh 0.3041 0.1521 0.7209
Rh4 Rh 0.1521 0.3041 0.2791
Pa1 Pa 0.0000 0.0000 0.5000
P1 P 0.6667 0.3333 0.8429
Rh5 Rh 0.8479 0.6959 0.7209
Rh6 Rh 0.6959 0.8479 0.2791
Tm2 Tm 0.0000 0.0000 0.0000
Rh7 Rh 0.8479 0.1521 0.7209
Tm3 Tm 0.3333 0.6667 0.7300
Rh8 Rh 0.1521 0.8479 0.2791
P2 P 0.3333 0.6667 0.1571
Rh9 Rh 0.5000 0.0000 0.0000
# - D(E_F): 5.6 states/eV/cell
# - SG: P-3m1, No. 164
# - Magnetization: 0.00 Bohr magnetons per cell
# - DFT formation energy: -0.718 eV per atom

---

No. 4
# GGA-PBE Ti7NbIn4, optimized geometry
data_Ti7NbIn4
_space_group_name_H-M_alt 'P 1'
_space_group_IT_number 1
_cell_length_a 5.0647
_cell_length_b 9.8468
_cell_length_c 5.5603
_cell_angle_alpha 85.87
_cell_angle_beta 62.91
_cell_angle_gamma 75.10
loop_
_space_group_symop_operation_xyz
'x,y,z'
loop_
_atom_site_label
_atom_site_type_symbol
_atom_site_fract_x
_atom_site_fract_y
_atom_site_fract_z
Ti1 Ti 0.9131 0.2857 0.8880
Ti2 Ti 0.0869 0.7143 0.1120
Ti3 Ti 0.7923 0.9228 0.4925
Ti4 Ti 0.2077 0.0772 0.5075
Ti5 Ti 0.6530 0.4957 0.1983
In1 In 0.7904 0.6608 0.7584
In2 In 0.6249 0.2279 0.5223
In3 In 0.3751 0.7721 0.4777
Ti6 Ti 0.5000 0.0000 0.0000
Ti7 Ti 0.3470 0.5043 0.8017
In4 In 0.2096 0.3392 0.2416
Nb1 Nb 0.0000 0.0000 0.0000
# - D(E_F): 13.1 states/eV/cell
# - SG: C2/m, No. 12
# - Magnetization: 0.00 Bohr magnetons per cell
# - DFT formation energy: 0.234 eV per atom